# Tm3AlIn2CuAu2

A relaxed Tm3AlIn2CuAu2 crystal (GGA-PBE, OQMD via LeMat-Bulk).

Values from the calculation:
For the density, the calculation gives 10.6 g/cm³. The value obtained for the size of the total moment is 0.00 μB/cell. The uncorrected energy comes out at -4.329 eV/atom.

```
Tm3AlIn2CuAu2
1.0
3.815 0.000 0.000
0.000 6.614 3.780
0.000 -6.614 3.780
Al Au Cu In Tm
1 2 1 2 3
Cartesian
0.000 0.000 1.879
0.000 2.143 3.714
0.000 -2.143 3.714
1.908 0.000 0.184
0.000 4.983 2.853
0.000 -4.983 2.853
1.908 3.943 5.303
1.908 0.000 4.441
1.908 -3.943 5.303
```